1.
A geometry-optimized LaTb2Pm2Dy2 structure, computed with PBE.

Its crystal system is monoclinic.

Cell lengths 5.9976, 5.6386, 9.7132 Å; angles 62.65, 90.00, 122.13 degrees
Element x y z (fractional)
Pm (0.2834, 0.5667, 0.0694)
Pm (0.7166, 0.4333, 0.9306)
Dy (0.8530, 0.7059, 0.2173)
Dy (0.1470, 0.2941, 0.7827)
Tb (0.5690, 0.1379, 0.6479)
Tb (0.4310, 0.8621, 0.3521)
La (0.0000, 0.0000, 0.5000)



2.
A geometry-optimized La5TbPmDy2 structure, computed with PBE.

Its crystal system is tetragonal.

Cell lengths 9.4853, 9.4853, 9.8232 Å; angles 118.87, 118.87, 90.00 degrees
Element x y z (fractional)
Pm (0.7500, 0.7500, 0.5000)
Pm (0.2500, 0.2500, 0.5000)
La (0.3356, 0.8356, 0.2693)
La (0.5663, 0.6644, 0.7307)
La (0.0663, 0.5663, 0.7307)
La (0.5000, 0.5000, 0.0000)
La (0.6644, 0.1644, 0.7307)
La (0.8356, 0.9337, 0.2693)
La (0.4337, 0.3356, 0.2693)
La (0.0000, 0.0000, 0.0000)
La (0.9337, 0.4337, 0.2693)
La (0.1644, 0.0663, 0.7307)
Dy (0.3911, 0.8911, 0.0000)
Dy (0.6089, 0.1089, 0.0000)
Dy (0.8911, 0.6089, 0.0000)
Dy (0.1089, 0.3911, 0.0000)
Tb (0.2500, 0.7500, 0.5000)
Tb (0.7500, 0.2500, 0.5000)



3.
A geometry-optimized LaTbPm2Dy structure, computed with PBE.

Its crystal system is monoclinic.

Cell lengths 6.5376, 8.6008, 6.3174 Å; angles 98.31, 90.00, 90.00 degrees
Element x y z (fractional)
Dy (0.8347, 0.5000, 0.2500)
Dy (0.1653, 0.5000, 0.7500)
Pm (0.3146, 0.3134, 0.2034)
Pm (0.6854, 0.6866, 0.7966)
Pm (0.6854, 0.3134, 0.7034)
Pm (0.3146, 0.6866, 0.2966)
Tb (0.5576, 0.0000, 0.2500)
Tb (0.4424, 0.0000, 0.7500)
La (0.0000, 0.0000, 0.5000)
La (0.0000, 0.0000, 0.0000)



4.
A geometry-optimized La3TbPm2Dy6 structure, computed with PBE.

Its crystal system is monoclinic.

Cell lengths 6.2749, 6.2749, 11.8847 Å; angles 95.04, 95.04, 120.01 degrees
Element x y z (fractional)
La (0.8333, 0.1667, 0.5000)
La (0.1667, 0.8333, 0.5000)
La (0.5000, 0.5000, 0.5000)
Dy (0.0819, 0.4148, 0.2464)
Dy (0.2509, 0.2509, 0.7535)
Dy (0.4148, 0.0819, 0.2464)
Dy (0.9181, 0.5852, 0.7536)
Dy (0.5852, 0.9181, 0.7536)
Dy (0.7491, 0.7491, 0.2465)
Tb (0.0000, 0.0000, 0.0000)
Pm (0.3334, 0.6666, 0.0000)
Pm (0.6666, 0.3334, 0.0000)



| no. | calculated formation energy (eV per atom) | magnetic moment (μB/atom) |
| --- | --- | --- |
| 1 | 0.1214 | 0.0000 |
| 2 | 0.2817 | 0.0000 |
| 3 | 0.2761 | 0.0000 |
| 4 | 0.0155 | 0.0000 |